--- w ---
VASP calculation (GGA-PBEsol) on a geometry-optimized Ir2PtRh structure.

It has space group Pmmm (No. 47), with a = 2.7146 Å, b = 3.8356 Å, c = 5.4254 Å, α = 90.00°, β = 90.00° and γ = 90.00°. The distinct sites, in fractional coordinates, are Ir at (0.0000, 0.0000, 0.2447), Pt at (0.5000, 0.5000, 0.5000) and Rh at (0.5000, 0.5000, 0.0000).

The density comes out at 20.1 g/cm³.



--- x ---
VASP calculation (GGA-PBEsol) on a geometry-optimized Ir2PtRh structure.

It has space group Cmm2 (No. 35), with a = 2.6540 Å, b = 4.6743 Å, c = 9.3442 Å, α = 90.00°, β = 90.00° and γ = 90.00°. The distinct sites, in fractional coordinates, are Ir at (0.0000, 0.0000, 0.0000), Ir at (0.0000, 0.5000, 0.2462), Pt at (0.0000, 0.0000, 0.5026) and Rh at (0.0000, 0.5000, 0.7553).

The density comes out at 19.6 g/cm³.



--- y ---
VASP calculation (GGA-PBEsol) on a geometry-optimized Ir2PtRh structure.

It has space group Cmmm (No. 65), with a = 2.6531 Å, b = 4.6673 Å, c = 9.3572 Å, α = 90.00°, β = 90.00° and γ = 90.00°. The distinct sites, in fractional coordinates, are Ir at (0.0000, 0.0000, 0.2448), Pt at (0.0000, 0.5000, 0.5000) and Rh at (0.0000, 0.5000, 0.0000).

The density comes out at 19.6 g/cm³.



--- z ---
VASP calculation (GGA-PBEsol) on a geometry-optimized Ir2PtRh structure.

It has space group C2/m (No. 12), with a = 8.9914 Å, b = 2.7147 Å, c = 4.6979 Å, α = 90.00°, β = 100.01° and γ = 90.00°. The distinct sites, in fractional coordinates, are Ir at (0.2479, 0.0000, 0.2459), Pt at (0.0000, 0.0000, 0.5000) and Rh at (0.0000, 0.5000, 0.0000).

The density comes out at 20.1 g/cm³.



Name the most stable of them. z.



--- w ---
VASP calculation (GGA-PBEsol) on a geometry-optimized Ir2PtRh structure.

It has space group Cm (No. 8), with a = 8.9881 Å, b = 2.7163 Å, c = 4.6984 Å, α = 90.00°, β = 99.97° and γ = 90.00°. The distinct sites, in fractional coordinates, are Ir at (0.0000, 0.0000, 0.0000), Ir at (0.2454, 0.5000, 0.2375), Pt at (0.2475, 0.0000, 0.7401) and Rh at (0.4939, 0.0000, 0.4882).

The density comes out at 20.1 g/cm³.



--- x ---
VASP calculation (GGA-PBEsol) on a geometry-optimized Ir2PtRh structure.

It has space group Pmm2 (No. 25), with a = 2.7163 Å, b = 3.8312 Å, c = 5.4246 Å, α = 90.00°, β = 90.00° and γ = 90.00°. The distinct sites, in fractional coordinates, are Ir at (0.0000, 0.0000, 0.0000), Ir at (0.5000, 0.5000, 0.2399), Pt at (0.0000, 0.0000, 0.4983) and Rh at (0.5000, 0.5000, 0.7524).

The density comes out at 20.1 g/cm³.



--- y ---
VASP calculation (GGA-PBEsol) on a geometry-optimized Ir2PtRh structure.

It has space group P4mm (No. 99), with a = 2.7100 Å, b = 2.7100 Å, c = 7.7048 Å, α = 90.00°, β = 90.00° and γ = 90.00°. The distinct sites, in fractional coordinates, are Ir at (0.0000, 0.0000, 0.0000), Ir at (0.5000, 0.5000, 0.2409), Pt at (0.0000, 0.0000, 0.4995) and Rh at (0.5000, 0.5000, 0.7575).

The density comes out at 20.0 g/cm³.



Name the most stable of them. y.



--- w ---
VASP calculation (GGA-PBEsol) on a geometry-optimized IrRu2Pt structure.

It has space group P4/mmm (No. 123), with a = 2.6873 Å, b = 2.6873 Å, c = 7.6862 Å, α = 90.00°, β = 90.00° and γ = 90.00°. The distinct sites, in fractional coordinates, are Ir at (0.0000, 0.0000, 0.0000), Ru at (0.5000, 0.5000, 0.2442) and Pt at (0.0000, 0.0000, 0.5000).

The density comes out at 17.6 g/cm³.



--- x ---
VASP calculation (GGA-PBEsol) on a geometry-optimized IrRu2Pt structure.

It has space group Cmmm (No. 65), with a = 5.3717 Å, b = 7.6655 Å, c = 2.6926 Å, α = 90.00°, β = 90.00° and γ = 90.00°. The distinct sites, in fractional coordinates, are Ir at (0.0000, 0.0000, 0.0000), Ru at (0.2500, 0.2500, 0.5000) and Pt at (0.0000, 0.5000, 0.0000).

The density comes out at 17.7 g/cm³.



--- y ---
VASP calculation (GGA-PBEsol) on a geometry-optimized IrRu2Pt structure.

It has space group P4mm (No. 99), with a = 2.6894 Å, b = 2.6894 Å, c = 7.6786 Å, α = 90.00°, β = 90.00° and γ = 90.00°. The distinct sites, in fractional coordinates, are Ir at (0.0000, 0.0000, 0.0000), Ru at (0.0000, 0.0000, 0.5197), Ru at (0.5000, 0.5000, 0.7573) and Pt at (0.5000, 0.5000, 0.2641).

The density comes out at 17.6 g/cm³.



--- z ---
VASP calculation (GGA-PBEsol) on a geometry-optimized IrRu2Pt structure.

It has space group C2/m (No. 12), with a = 8.9794 Å, b = 2.6914 Å, c = 4.6661 Å, α = 90.00°, β = 99.81° and γ = 90.00°. The distinct sites, in fractional coordinates, are Ir at (0.0000, 0.0000, 0.0000), Ru at (0.2470, 0.5000, 0.2422) and Pt at (0.0000, 0.5000, 0.5000).

The density comes out at 17.6 g/cm³.



Name the most stable of them. w.



--- w ---
VASP calculation (GGA-PBEsol) on a geometry-optimized IrRu2Pt structure.

It has space group Pmmm (No. 47), with a = 2.6866 Å, b = 3.8349 Å, c = 5.3846 Å, α = 90.00°, β = 90.00° and γ = 90.00°. The distinct sites, in fractional coordinates, are Ir at (0.0000, 0.0000, 0.0000), Ru at (0.5000, 0.5000, 0.2436) and Pt at (0.0000, 0.0000, 0.5000).

The density comes out at 17.6 g/cm³.



--- x ---
VASP calculation (GGA-PBEsol) on a geometry-optimized IrRu2Pt structure.

It has space group I-4m2 (No. 119), with a = 3.8060 Å, b = 3.8060 Å, c = 7.6537 Å, α = 90.00°, β = 90.00° and γ = 90.00°. The distinct sites, in fractional coordinates, are Ir at (0.0000, 0.0000, 0.0000), Ru at (0.0000, 0.0000, 0.5000), Ru at (0.0000, 0.5000, 0.2500) and Pt at (0.0000, 0.5000, 0.7500).

The density comes out at 17.7 g/cm³.



Name the most stable of them. w.